Record 1
Compound: Pr3InN
Source: the Alexandria database
Functional: SCAN
Structure: single point on PBEsol structure

abc: 5.016 5.016 5.016
angles: 90.00 90.00 90.00
Fractional coordinates of all 5 atoms:
Pr  0.000  0.000  0.500
Pr  0.000  0.500  0.000
Pr  0.500  0.000  0.000
In  0.500  0.500  0.500
N  0.000  0.000  0.000

Values from the calculation:
- E: -35.564 eV per atom
- Formation energy (no corrections): -1033 meV per atom

Record 2
Compound: BaLiCl2
Source: the Alexandria database
Functional: SCAN
Structure: single point on PBEsol structure

abc: 7.114 7.114 7.114
angles: 149.15 145.65 46.83
Fractional coordinates of all 4 atoms:
Ba  0.000  0.000  0.000
Li  0.766  0.266  0.500
Cl  0.323  0.823  0.500
Cl  0.610  0.610  0.000

Values from the calculation:
- Offset from the most stable computed form: 0.0581 eV per atom
- E: -16.250 eV per atom
- Formation energy (no corrections): -1776 meV per atom

Record 3
Compound: NaTa2TcAs
Source: the Alexandria database
Functional: SCAN
Structure: single point on PBEsol structure

abc: 4.612 4.612 4.391
angles: 90.00 90.00 90.00
Fractional coordinates of all 5 atoms:
Na  0.000  0.000  0.000
Ta  0.000  0.500  0.000
Ta  0.500  0.000  0.000
Tc  0.000  0.000  0.500
As  0.500  0.500  0.500

Values from the calculation:
- E: -36.105 eV per atom
- Formation energy: 2421.6 meV/atom

Record 4
Compound: SrTaSb
Source: the Alexandria database
Functional: SCAN
Structure: single point on PBEsol structure

abc: 4.742 4.742 4.366
angles: 90.00 90.00 120.00
Fractional coordinates of all 3 atoms:
Sr  0.000  0.000  0.000
Ta  0.667  0.333  0.500
Sb  0.333  0.667  0.500

Values from the calculation:
- Offset from the most stable computed form: 0.0989 eV per atom
- E: -41.779 eV per atom
- Formation energy (no corrections): 260 meV per atom